Here is K2ZrCo after structural relaxation from Alexandria via LeMat-Bulk. Energies are from PBE-GGA.

Geometry as POSCAR:
```
K2ZrCo
1.0
6.8464 -0.0150 0.0000
-4.4157 5.2321 0.0000
0.0000 0.0000 2.9999
Co K Zr
1 2 1
Direct
0.0000 0.5000 0.5000
0.0000 0.0000 0.0000
0.5000 0.5000 0.0000
0.5000 0.0000 0.5000
```

Calculated values
The volume is 26.815 A^3/atom. For the total magnetization, the calculation gives 1.368 μB/cell. The value obtained for the energy relative to the lowest polymorph listed for this composition is 792 meV/atom. The space group is Cmmm (65).

Here is TlFe4Os after structural relaxation from Alexandria via LeMat-Bulk. Energies are from PBE-GGA.

Geometry as POSCAR:
```
TlFe4Os
1.0
0.0000 3.4560 3.4560
3.4560 0.0000 3.4560
3.4560 3.4560 0.0000
Tl Fe Os
1 4 1
Direct
0.0000 0.0000 0.0000
0.8744 0.3752 0.3752
0.3752 0.3752 0.8744
0.3752 0.8744 0.3752
0.3752 0.3752 0.3752
0.7500 0.7500 0.7500
```

Calculated values
The volume is 13.759 A^3/atom. For the total magnetization, the calculation gives 10.635 μB/cell. The space group is F-43m (216). As for the final energy: -7.4993 eV/atom.

Here is MgInAgGe after structural relaxation from Alexandria via LeMat-Bulk. Energies are from PBE-GGA.

Geometry as POSCAR:
```
MgInAgGe
1.0
-3.4670 -2.0521 -2.7732
0.9058 -1.0080 -4.6995
0.4664 -4.6450 -1.4589
Ge Mg Ag In
1 1 1 1
Direct
0.5000 0.5000 0.5000
0.2500 0.2500 0.2500
0.0000 0.0000 0.0000
0.7500 0.7500 0.7500
```

Calculated values
The volume is 20.683 A^3/atom. For the total magnetization, the calculation gives 0.000 μB/cell. The space group is F-43m (216). As for the final energy: -2.9237 eV/atom.

Here is CsBe after structural relaxation from Alexandria via LeMat-Bulk. Energies are from PBE-GGA.

Geometry as POSCAR:
```
CsBe
1.0
-7.5308 3.0833 11.0521
6.7173 -9.5330 7.2366
2.9190 2.9434 1.1678
Cs Be
8 8
Direct
0.7512 0.5000 0.0000
0.2488 0.5000 0.0000
0.5000 0.2488 0.0000
0.5000 0.7512 0.0000
0.2512 0.0000 0.5000
0.7488 0.0000 0.5000
0.0000 0.7488 0.5000
0.0000 0.2512 0.5000
0.2456 0.2456 0.0000
0.2456 0.7544 0.0000
0.7544 0.2456 0.0000
0.7544 0.7544 0.0000
0.7456 0.7456 0.5000
0.7456 0.2544 0.5000
0.2544 0.7456 0.5000
0.2544 0.2544 0.5000
```

Calculated values
The volume is 50.704 A^3/atom. For the total magnetization, the calculation gives 0.000 μB/cell. The value obtained for the energy relative to the lowest polymorph listed for this composition is 110 meV/atom. The space group is I4/mmm (139).

Here is BaPuPt4 after structural relaxation from Alexandria via LeMat-Bulk. Energies are from PBE-GGA.

Geometry as POSCAR:
```
BaPuPt4
1.0
5.5829 0.0000 0.0000
2.7915 4.8350 0.0000
2.7915 1.6117 4.5585
Ba Pt Pu
1 4 1
Direct
0.2500 0.2500 0.2500
0.6257 0.6257 0.1229
0.6257 0.1229 0.6257
0.6257 0.6257 0.6257
0.1229 0.6257 0.6257
0.0000 0.0000 0.0000
```

Calculated values
The volume is 20.508 A^3/atom. For the total magnetization, the calculation gives 5.467 μB/cell. The space group is F-43m (216). As for the final energy: -7.4197 eV/atom.

Here is Sm5Tm12Th2 after structural relaxation from Alexandria via LeMat-Bulk. Energies are from PBE-GGA.

Geometry as POSCAR:
```
Sm5Tm12Th2
1.0
-2.8149 1.0838 5.4489
-5.2063 5.8137 -4.3091
-1.4939 -13.7126 0.6742
Sm Tm Th
5 12 2
Direct
0.2701 0.4875 0.5557
0.1235 0.6655 0.1524
0.0000 0.0000 0.5000
0.8765 0.3345 0.8476
0.7299 0.5125 0.4443
0.9783 0.1086 0.2670
0.0765 0.7854 0.9470
0.5962 0.7255 0.0492
0.1944 0.5477 0.3420
0.6489 0.6109 0.2461
0.5004 0.9365 0.6180
0.4996 0.0635 0.3820
0.8056 0.4523 0.6580
0.3511 0.3891 0.7539
0.9235 0.2146 0.0530
0.4038 0.2745 0.9508
0.0217 0.8914 0.7330
0.5424 0.8356 0.8425
0.4576 0.1644 0.1575
```

Calculated values
The volume is 31.706 A^3/atom. For the total magnetization, the calculation gives 0.000 μB/cell. The value obtained for the energy relative to the lowest polymorph listed for this composition is 0 meV/atom. The space group is P-1 (2).

Here is SrBTeO6 after structural relaxation from Alexandria via LeMat-Bulk. Energies are from PBE-GGA.

Geometry as POSCAR:
```
SrBTeO6
1.0
-2.3524 -0.3171 -4.2358
2.1284 -3.9312 1.8953
-9.3706 -2.4753 5.3893
Sr B Te O
2 2 2 12
Direct
0.0000 0.0000 0.0000
0.0000 0.0000 0.5000
0.6667 0.3333 0.2500
0.3333 0.6667 0.7500
0.3333 0.6667 0.2500
0.6667 0.3333 0.7500
0.6377 0.6035 0.1563
0.9658 0.3623 0.1563
0.3623 0.9658 0.6563
0.0342 0.6377 0.8437
0.3965 0.3623 0.3437
0.9658 0.6035 0.3437
0.6035 0.9658 0.8437
0.6377 0.0342 0.3437
0.0342 0.3965 0.6563
0.3965 0.0342 0.1563
0.6035 0.6377 0.6563
0.3623 0.3965 0.8437
```

Calculated values
The volume is 12.579 A^3/atom. For the uncorrected formation energy, the calculation gives -1407 meV/atom. For the total magnetization, the calculation gives 2.129 μB/cell. The space group is P-31c (163).

Here is Tb2PmP after structural relaxation from Alexandria via LeMat-Bulk. Energies are from PBE-GGA.

Geometry as POSCAR:
```
Tb2PmP
1.0
3.7652 0.0000 0.0000
1.8826 3.2607 0.0000
1.8826 1.0869 10.2586
P Tb Pm
1 2 1
Direct
0.5000 0.5000 0.5000
0.1138 0.1138 0.6587
0.8862 0.8862 0.3413
0.0000 0.0000 0.0000
```

Calculated values
The volume is 31.487 A^3/atom. For the total magnetization, the calculation gives 0.929 μB/cell. The space group is R-3m (166). As for the final energy: -5.3889 eV/atom.

Here is CuSb2AuI after structural relaxation from Alexandria via LeMat-Bulk. Energies are from PBE-GGA.

Geometry as POSCAR:
```
CuSb2AuI
1.0
-5.0257 -0.8502 0.3118
0.3740 -3.5501 -3.6517
0.8518 -3.6884 3.6730
I Sb Au Cu
1 2 1 1
Direct
0.0000 0.0000 0.5000
0.0000 0.5000 0.0000
0.5000 0.0000 0.0000
0.5000 0.5000 0.5000
0.0000 0.0000 0.0000
```

Calculated values
The volume is 27.510 A^3/atom. For the uncorrected formation energy, the calculation gives 629 meV/atom. For the total magnetization, the calculation gives 0.000 μB/cell. The value obtained for the energy relative to the lowest polymorph listed for this composition is 0 meV/atom. The space group is P4/mmm (123).

Here is MnSiPH after structural relaxation from Alexandria via LeMat-Bulk. Energies are from PBE-GGA.

Geometry as POSCAR:
```
MnSiPH
1.0
-0.6466 2.3731 -1.0908
-3.4129 -1.1501 -1.1319
-2.8859 1.5555 3.2543
Mn Si P H
1 1 1 1
Direct
0.4005 0.2602 0.6530
0.7894 0.1389 0.0785
0.8890 0.7806 0.5386
0.5660 0.4437 0.2605
```

Calculated values
The volume is 11.200 A^3/atom. For the total magnetization, the calculation gives 0.001 μB/cell. The value obtained for the energy relative to the lowest polymorph listed for this composition is 125 meV/atom. The space group is P1 (1).

Here is Sc2BeNbMo after structural relaxation from Alexandria via LeMat-Bulk. Energies are from PBE-GGA.

Geometry as POSCAR:
```
Sc2BeNbMo
1.0
4.8285 0.0000 0.0000
0.0000 4.3909 0.0000
0.0000 0.0000 4.8285
Sc Be Mo Nb
2 1 1 1
Direct
0.0000 0.0000 0.5000
0.5000 0.0000 0.0000
0.0000 0.5000 0.0000
0.0000 0.0000 0.0000
0.5000 0.5000 0.5000
```

Calculated values
The volume is 20.475 A^3/atom. For the total magnetization, the calculation gives 0.018 μB/cell. The value obtained for the energy relative to the lowest polymorph listed for this composition is 0 meV/atom. The space group is P4/mmm (123).

Here is HfZnSb after structural relaxation from Alexandria via LeMat-Bulk. Energies are from PBE-GGA.

Geometry as POSCAR:
```
HfZnSb
1.0
3.9580 0.0000 0.0000
0.0000 3.9580 0.0000
0.0000 0.0000 8.3223
Hf Zn Sb
2 2 2
Direct
0.0000 0.5000 0.7261
0.5000 0.0000 0.2739
0.0000 0.0000 0.0000
0.5000 0.5000 0.0000
0.0000 0.5000 0.3580
0.5000 0.0000 0.6420
```

Calculated values
The volume is 21.729 A^3/atom. For the uncorrected formation energy, the calculation gives -168 meV/atom. For the total magnetization, the calculation gives 0.000 μB/cell. The space group is P4/nmm (129).

Here is LiFe2Co after structural relaxation from Alexandria via LeMat-Bulk. Energies are from PBE-GGA.

Geometry as POSCAR:
```
LiFe2Co
1.0
-2.2780 0.8749 0.1162
-0.7252 -1.4306 -3.4456
-1.5401 -4.2894 2.1051
Co Fe Li
1 2 1
Direct
0.5000 0.5000 0.7500
0.0000 0.0000 0.9903
0.0000 0.0000 0.5097
0.5000 0.5000 0.2500
```

Calculated values
The volume is 11.653 A^3/atom. For the total magnetization, the calculation gives 6.515 μB/cell. The value obtained for the energy relative to the lowest polymorph listed for this composition is 75 meV/atom. The space group is Pmmm (47).

Here is SrNdMgRuO6 after structural relaxation from Alexandria via LeMat-Bulk. Energies are from PBE-GGA.

Geometry as POSCAR:
```
SrNdMgRuO6
1.0
-4.0878 0.9443 3.8436
2.0023 -4.1387 3.1464
6.7048 1.0015 6.8848
Sr Nd Mg Ru O
2 2 2 2 12
Direct
0.2133 0.2431 0.2504
0.7867 0.2431 0.7504
0.3036 0.7620 0.7516
0.6964 0.7620 0.2516
0.7563 0.5001 0.0008
0.2437 0.5001 0.5008
0.7522 0.0002 0.4999
0.2478 0.0002 0.9999
0.0394 0.1473 0.5462
0.9606 0.1473 0.0462
0.4770 0.8279 0.4589
0.5230 0.8279 0.9589
0.7662 0.3359 0.2564
0.2338 0.3359 0.7564
0.7245 0.6904 0.7437
0.2755 0.6904 0.2437
0.9474 0.7561 0.4549
0.0526 0.7561 0.9549
0.5359 0.2370 0.5373
0.4641 0.2370 0.0373
```

Calculated values
The volume is 12.531 A^3/atom. For the uncorrected formation energy, the calculation gives -2359 meV/atom. For the total magnetization, the calculation gives 6.007 μB/cell. The space group is Pc (7).

Here is LuScFePt after structural relaxation from Alexandria via LeMat-Bulk. Energies are from PBE-GGA.

Geometry as POSCAR:
```
LuScFePt
1.0
-0.8417 4.2501 -1.6498
-1.0653 0.5807 -4.4746
-4.3083 1.2017 -1.2201
Sc Lu Fe Pt
1 1 1 1
Direct
0.7500 0.7500 0.7500
0.2500 0.2500 0.2500
0.5000 0.5000 0.5000
0.0000 0.0000 0.0000
```

Calculated values
The volume is 17.616 A^3/atom. For the total magnetization, the calculation gives 0.326 μB/cell. The space group is F-43m (216). As for the final energy: -6.9640 eV/atom.

Here is CeP2Ir2Ru after structural relaxation from Alexandria via LeMat-Bulk. Energies are from PBE-GGA.

Geometry as POSCAR:
```
CeP2Ir2Ru
1.0
-2.0027 2.4847 -3.1605
-3.3428 -2.9908 -0.2331
-2.6625 2.6802 3.7942
Ce P Ir Ru
1 2 2 1
Direct
0.0000 0.0000 0.5000
0.5000 0.0000 0.0000
0.0000 0.5000 0.0000
0.5000 0.5000 0.7416
0.5000 0.5000 0.2584
0.0000 0.0000 0.0000
```

Calculated values
The volume is 18.002 A^3/atom. For the total magnetization, the calculation gives 0.144 μB/cell. The space group is P4/mmm (123). As for the final energy: -7.4615 eV/atom.

Here is Pm6InIr3 after structural relaxation from Alexandria via LeMat-Bulk. Energies are from PBE-GGA.

Geometry as POSCAR:
```
Pm6InIr3
1.0
4.5884 0.0000 0.0000
0.0000 10.1354 -3.9222
0.0000 -0.1346 12.1625
Pm In Ir
12 2 6
Direct
0.7500 0.4760 0.6080
0.2500 0.5240 0.3920
0.7500 0.8802 0.0982
0.2500 0.1198 0.9018
0.7500 0.4028 0.0644
0.2500 0.5972 0.9356
0.7500 0.7219 0.3038
0.2500 0.2781 0.6962
0.7500 0.1285 0.4363
0.2500 0.8715 0.5637
0.7500 0.8284 0.8004
0.2500 0.1716 0.1996
0.7500 0.0801 0.7027
0.2500 0.9199 0.2973
0.7500 0.4224 0.8269
0.2500 0.5776 0.1731
0.7500 0.6918 0.5254
0.2500 0.3082 0.4746
0.7500 0.1126 0.0422
0.2500 0.8874 0.9578
```

Calculated values
The volume is 28.160 A^3/atom. For the total magnetization, the calculation gives 0.000 μB/cell. The space group is P2_1/m (11). As for the final energy: -6.3040 eV/atom.

Here is TbHfZnGa after structural relaxation from Alexandria via LeMat-Bulk. Energies are from PBE-GGA.

Geometry as POSCAR:
```
TbHfZnGa
1.0
4.8621 0.0000 0.0000
2.4311 4.2107 0.0000
2.4311 1.4036 3.9699
Tb Zn Hf Ga
1 1 1 1
Direct
0.5000 0.5000 0.5000
0.7500 0.7500 0.7500
0.0000 0.0000 0.0000
0.2500 0.2500 0.2500
```

Calculated values
The volume is 20.319 A^3/atom. For the total magnetization, the calculation gives 0.000 μB/cell. The space group is F-43m (216). As for the final energy: -5.0424 eV/atom.

Here is LiOsW after structural relaxation from Alexandria via LeMat-Bulk. Energies are from PBE-GGA.

Geometry as POSCAR:
```
LiOsW
1.0
4.5329 0.0087 -0.0201
1.8722 4.1282 0.0201
-2.6942 -2.8557 2.2660
Li Os W
1 1 1
Direct
0.0020 0.0020 0.0000
0.6668 0.6668 0.0000
0.3312 0.3312 0.0000
```

Calculated values
The volume is 14.170 A^3/atom. For the total magnetization, the calculation gives 0.000 μB/cell. The value obtained for the energy relative to the lowest polymorph listed for this composition is 90 meV/atom. The space group is Imm2 (44).

Here is IrPbW2 after structural relaxation from Alexandria via LeMat-Bulk. Energies are from PBE-GGA.

Geometry as POSCAR:
```
IrPbW2
1.0
-2.3489 0.0005 -3.2452
-1.1871 -2.4367 0.8589
-6.0166 0.3920 4.3548
Ir Pb W
1 1 2
Direct
0.5000 0.2500 0.2500
0.5000 0.7500 0.7500
0.0000 0.9900 0.0574
0.0000 0.5100 0.4426
```

Calculated values
The volume is 18.700 A^3/atom. For the total magnetization, the calculation gives 0.000 μB/cell. The space group is P2/m (10). As for the final energy: -9.0362 eV/atom.